## Sc2CdWO8 (PBE with a Hubbard U)

Data for a relaxed Sc2CdWO8 crystal. Values from VASP.

E: -86.23 eV for the cell shown
total magnetization: 1.6 μB per cell
D(E_F): 0.7159 states/eV per atom

Structure (Quantum ESPRESSO input):
```
&SYSTEM
  ibrav = 0, nat = 12, ntyp = 4
/
ATOMIC_SPECIES
O 16.00 O.upf
Sc 44.96 Sc.upf
W 183.84 W.upf
Cd 112.41 Cd.upf
CELL_PARAMETERS angstrom
-2.6990 -3.9862 0.5026
4.0156 -2.6563 -0.4718
0.9123 0.2113 6.5743
ATOMIC_POSITIONS angstrom
O -0.6607 -3.5602 5.5090
O 3.4198 -2.7480 4.9168
O 0.8704 -2.0022 3.2974
O -1.1909 -3.6831 1.6884
Sc 0.8865 -3.2683 1.6602
Sc 1.3424 -3.1628 4.9449
O 2.8895 -2.8709 1.0961
W 0.0000 0.0000 0.0000
Cd 0.4561 0.1057 3.2872
O 1.2928 -1.7162 6.5834
O 0.9360 -4.7149 0.0217
O 1.3585 -4.4290 3.3077
```